[1]
A PBEsol-optimized structure of Cd4As2I3. Source: the Alexandria database, functional meta-GGA SCAN.

Structure (POSCAR):
```
Cd4As2I3
1.0
-9.674 -6.538 5.596
3.634 -10.735 -6.260
7.801 -3.106 9.856
Cd As I
32 16 24
direct
0.246 0.533 0.997
0.503 0.754 0.033
0.754 0.033 0.503
0.220 0.280 0.720
0.003 0.754 0.467
0.720 0.280 0.780
0.967 0.003 0.746
0.220 0.220 0.220
0.720 0.220 0.280
0.497 0.246 0.967
0.533 0.503 0.746
0.254 0.467 0.497
0.003 0.746 0.967
0.997 0.254 0.033
0.780 0.720 0.280
0.467 0.003 0.754
0.033 0.503 0.754
0.246 0.967 0.497
0.280 0.780 0.720
0.754 0.467 0.003
0.497 0.254 0.467
0.503 0.746 0.533
0.746 0.967 0.003
0.746 0.533 0.503
0.254 0.033 0.997
0.533 0.997 0.246
0.967 0.497 0.246
0.997 0.246 0.533
0.280 0.720 0.220
0.780 0.780 0.780
0.467 0.497 0.254
0.033 0.997 0.254
0.394 0.894 0.606
0.554 0.554 0.554
0.106 0.394 0.606
0.894 0.894 0.894
0.054 0.554 0.946
0.394 0.606 0.106
0.554 0.946 0.054
0.946 0.446 0.054
0.106 0.106 0.106
0.894 0.606 0.394
0.446 0.446 0.446
0.054 0.946 0.446
0.446 0.054 0.946
0.946 0.054 0.554
0.606 0.106 0.394
0.606 0.394 0.894
0.241 0.689 0.440
0.189 0.060 0.759
0.689 0.060 0.741
0.759 0.189 0.060
0.440 0.259 0.189
0.811 0.940 0.241
0.311 0.560 0.759
0.560 0.759 0.311
0.259 0.189 0.440
0.311 0.940 0.259
0.189 0.440 0.259
0.060 0.759 0.189
0.741 0.689 0.060
0.440 0.241 0.689
0.060 0.741 0.689
0.940 0.241 0.811
0.689 0.440 0.241
0.940 0.259 0.311
0.811 0.560 0.741
0.241 0.811 0.940
0.259 0.311 0.940
0.741 0.811 0.560
0.759 0.311 0.560
0.560 0.741 0.811
```

Properties
The value obtained for the raw formation energy is -3.600 eV/f.u.


[2]
A PBEsol-optimized structure of Cu3B4Pb2O11. Source: the Alexandria database, functional meta-GGA SCAN.

Structure (POSCAR):
```
Cu3B4Pb2O11
1.0
-0.605 4.118 2.176
2.543 -2.646 5.713
12.709 4.832 -5.613
O B Pb Cu
22 8 4 6
direct
0.055 0.018 0.161
0.933 0.817 0.591
0.933 0.683 0.909
0.172 0.684 0.091
0.712 0.072 0.047
0.712 0.428 0.453
0.945 0.982 0.839
0.692 0.756 0.153
0.888 0.250 0.750
0.288 0.572 0.547
0.172 0.816 0.409
0.828 0.184 0.591
0.067 0.183 0.409
0.308 0.244 0.847
0.055 0.482 0.339
0.828 0.316 0.909
0.067 0.317 0.091
0.692 0.744 0.347
0.288 0.928 0.953
0.112 0.750 0.250
0.945 0.518 0.661
0.308 0.256 0.653
0.988 0.802 0.161
0.052 0.635 0.597
0.988 0.698 0.339
0.948 0.135 0.097
0.052 0.865 0.903
0.012 0.198 0.839
0.948 0.365 0.403
0.012 0.302 0.661
0.574 0.984 0.693
0.426 0.484 0.193
0.574 0.516 0.807
0.426 0.016 0.307
0.476 0.651 0.442
0.000 0.500 0.000
0.524 0.349 0.558
0.476 0.849 0.058
0.524 0.151 0.942
0.000 0.000 0.500
```

Properties
The value obtained for the raw formation energy is -36.415 eV/f.u.


[3]
A PBEsol-optimized structure of BeSiRu2. Source: the Alexandria database, functional meta-GGA SCAN.

Structure (POSCAR):
```
BeSiRu2
1.0
2.888 0.000 0.000
0.000 3.798 0.000
-1.444 0.000 4.250
Be Si Ru
1 1 2
direct
0.536 0.500 0.073
0.707 0.000 0.413
0.985 0.000 0.969
0.263 0.500 0.527
```

Properties
The density of states at the Fermi level is 0.55 states/eV per atom. The value obtained for the raw formation energy is -2.357 eV/f.u.


[4]
A PBEsol-optimized structure of NaHoPd6O8. Source: the Alexandria database, functional meta-GGA SCAN.

Structure (POSCAR):
```
NaHoPd6O8
1.0
5.715 0.000 0.000
0.000 5.715 0.000
0.000 0.000 5.715
Pd O Na Ho
6 8 1 1
direct
0.000 0.500 0.750
0.750 0.000 0.500
0.500 0.750 0.000
0.250 0.000 0.500
0.000 0.500 0.250
0.500 0.250 0.000
0.241 0.759 0.759
0.241 0.241 0.241
0.241 0.759 0.241
0.759 0.241 0.241
0.759 0.759 0.759
0.759 0.241 0.759
0.759 0.759 0.241
0.241 0.241 0.759
0.500 0.500 0.500
0.000 0.000 0.000
```

Properties
The density of states at the Fermi level is 0.16 states/eV per atom. The value obtained for the raw formation energy is -21.111 eV/f.u.


[5]
A PBEsol-optimized structure of AlCrMoRu2. Source: the Alexandria database, functional meta-GGA SCAN.

Structure (POSCAR):
```
AlCrMoRu2
1.0
4.311 0.000 0.000
0.000 4.311 0.000
0.000 0.000 4.489
Ru Mo Cr Al
2 1 1 1
direct
0.000 0.500 0.000
0.500 0.000 0.000
0.000 0.000 0.500
0.500 0.500 0.500
0.000 0.000 0.000
```

Properties
For the calculated formation energy, the calculation gives 6.0 eV/f.u. The density of states at the Fermi level is 0.97 states/eV per atom.


[6]
A PBEsol-optimized structure of ZrInSe. Source: the Alexandria database, functional meta-GGA SCAN.

Structure (POSCAR):
```
ZrInSe
1.0
3.449 0.000 0.000
0.000 3.449 0.000
-1.724 -1.724 5.405
In Zr Se
1 1 1
direct
0.995 0.995 0.989
0.305 0.305 0.610
0.700 0.700 0.401
```

Properties
The density of states at the Fermi level is 0.59 states/eV per atom. The value obtained for the raw formation energy is -2.362 eV/f.u.


Calculated total DFT energy (no corrections) in order - -30.65, -16.59, -21.59, -20.05, -24.93, -28.84 eV per atom